Material: NdDy5Pb5
Method: DFT, GGA-PBE
State: relaxed

```
data_NdDy5Pb5
_symmetry_space_group_name_H-M 'C 1 2/m 1'
_symmetry_Int_Tables_number 12
_cell_length_a 15.720
_cell_length_b 6.303
_cell_length_c 7.466
_cell_angle_alpha 90.00
_cell_angle_beta 102.90
_cell_angle_gamma 90.00
loop_
_symmetry_equiv_pos_as_xyz
'x,y,z'
'-x,-y,-z'
'-x,y,-z'
'x,-y,z'
'x+1/2,y+1/2,z'
'-x+1/2,-y+1/2,-z'
'-x+1/2,y+1/2,-z'
'x+1/2,-y+1/2,z'
loop_
_atom_site_label
_atom_site_type_symbol
_atom_site_fract_x
_atom_site_fract_y
_atom_site_fract_z
Nd1 Nd 0.000 0.000 0.000
Dy1 Dy 0.000 0.000 0.500
Dy2 Dy 0.155 0.500 0.341
Dy3 Dy 0.168 0.500 0.843
Pb1 Pb 0.000 0.500 0.000
Pb2 Pb 0.169 0.000 0.344
Pb3 Pb 0.170 0.000 0.813
```

Calculated values
For the total moment, the calculation gives 1.34 μB per cell. As for the density of states at the Fermi level: 0.798 states/eV/atom. The crystal system is monoclinic. The energy of formation from the pure elements is -6.358 kcal/mol of atoms. Its electronic total energy is -4.49 eV per atom.

Material: NdDyPb2
Method: DFT, GGA-PBE
State: relaxed

```
data_NdDyPb2
_symmetry_space_group_name_H-M 'P n m a'
_symmetry_Int_Tables_number 62
_cell_length_a 8.135
_cell_length_b 3.682
_cell_length_c 16.937
_cell_angle_alpha 90.00
_cell_angle_beta 90.00
_cell_angle_gamma 90.00
loop_
_symmetry_equiv_pos_as_xyz
'x,y,z'
'-x,-y,-z'
'-x+1/2,-y,z+1/2'
'x+1/2,y,-z+1/2'
'x+1/2,-y+1/2,-z+1/2'
'-x+1/2,y+1/2,z+1/2'
'-x,y+1/2,-z'
'x,-y+1/2,z'
loop_
_atom_site_label
_atom_site_type_symbol
_atom_site_fract_x
_atom_site_fract_y
_atom_site_fract_z
Nd1 Nd 0.054 0.250 0.135
Dy1 Dy 0.046 0.750 0.391
Pb1 Pb 0.200 0.250 0.753
Pb2 Pb 0.234 0.750 0.999
```

Calculated values
For the total moment, the calculation gives 0.00 μB per cell. As for the density of states at the Fermi level: 0.568 states/eV/atom. The crystal system is orthorhombic. The energy of formation from the pure elements is -8.906 kcal/mol of atoms. Its electronic total energy is -4.58 eV per atom.

Material: NdDyPb2
Method: DFT, GGA-PBE
State: relaxed

```
data_NdDyPb2
_symmetry_space_group_name_H-M 'P 1 m 1'
_symmetry_Int_Tables_number 6
_cell_length_a 4.589
_cell_length_b 4.500
_cell_length_c 6.347
_cell_angle_alpha 90.00
_cell_angle_beta 111.13
_cell_angle_gamma 90.00
loop_
_symmetry_equiv_pos_as_xyz
'x,y,z'
'x,-y,z'
loop_
_atom_site_label
_atom_site_type_symbol
_atom_site_fract_x
_atom_site_fract_y
_atom_site_fract_z
Nd1 Nd 0.000 0.000 0.000
Dy1 Dy 0.260 0.500 0.524
Pb1 Pb 0.533 0.500 0.066
Pb2 Pb 0.728 0.000 0.460
```

Calculated values
For the total moment, the calculation gives 0.00 μB per cell. As for the density of states at the Fermi level: 0.691 states/eV/atom. The crystal system is monoclinic. The energy of formation from the pure elements is -11.877 kcal/mol of atoms. Its electronic total energy is -4.71 eV per atom.

Material: Nd4DyPb2
Method: DFT, GGA-PBE
State: relaxed

```
data_Nd4DyPb2
_symmetry_space_group_name_H-M 'I 4/m m m'
_symmetry_Int_Tables_number 139
_symmetry_space_group_name_Hall '-I 4 2'
_cell_length_a 5.542
_cell_length_b 5.542
_cell_length_c 16.866
_cell_angle_alpha 90.00
_cell_angle_beta 90.00
_cell_angle_gamma 90.00
loop_
_atom_site_label
_atom_site_type_symbol
_atom_site_fract_x
_atom_site_fract_y
_atom_site_fract_z
Nd1 Nd 0.000 0.000 0.183
Nd2 Nd 0.000 0.500 0.000
Dy1 Dy 0.000 0.000 0.000
Pb1 Pb 0.000 0.000 0.369
```

Calculated values
For the total moment, the calculation gives 0.00 μB per cell. As for the density of states at the Fermi level: 1.095 states/eV/atom. The crystal system is tetragonal. The energy of formation from the pure elements is 7.361 kcal/mol of atoms. Its electronic total energy is -4.12 eV per atom.

Material: Nd2DyPb3
Method: DFT, GGA-PBE
State: relaxed

```
data_Nd2DyPb3
_symmetry_space_group_name_H-M 'C 1 2/c 1'
_symmetry_Int_Tables_number 15
_cell_length_a 9.546
_cell_length_b 14.627
_cell_length_c 5.927
_cell_angle_alpha 90.00
_cell_angle_beta 115.98
_cell_angle_gamma 90.00
loop_
_symmetry_equiv_pos_as_xyz
'x,y,z'
'-x,-y,-z'
'-x,y,-z+1/2'
'x,-y,z+1/2'
'x+1/2,y+1/2,z'
'-x+1/2,-y+1/2,-z'
'-x+1/2,y+1/2,-z+1/2'
'x+1/2,-y+1/2,z+1/2'
loop_
_atom_site_label
_atom_site_type_symbol
_atom_site_fract_x
_atom_site_fract_y
_atom_site_fract_z
Nd1 Nd 0.000 0.082 0.250
Nd2 Nd 0.000 0.248 0.750
Dy1 Dy 0.000 0.416 0.250
Pb1 Pb 0.244 0.419 0.006
Pb2 Pb 0.250 0.250 0.500
```

Calculated values
For the total moment, the calculation gives 0.00 μB per cell. As for the density of states at the Fermi level: 0.823 states/eV/atom. The calculation puts the energy above the most stable polymorph in this dataset at 19 meV/atom. The crystal system is monoclinic. The energy of formation from the pure elements is -10.883 kcal/mol of atoms. Its electronic total energy is -4.68 eV per atom.

Material: Nd3DyPb2
Method: DFT, GGA-PBE
State: relaxed

```
data_Nd3DyPb2
_symmetry_space_group_name_H-M 'C m m m'
_symmetry_Int_Tables_number 65
_symmetry_space_group_name_Hall '-C 2 2'
_cell_length_a 4.998
_cell_length_b 16.448
_cell_length_c 4.518
_cell_angle_alpha 90.00
_cell_angle_beta 90.00
_cell_angle_gamma 90.00
loop_
_atom_site_label
_atom_site_type_symbol
_atom_site_fract_x
_atom_site_fract_y
_atom_site_fract_z
Nd1 Nd 0.000 0.000 0.000
Nd2 Nd 0.000 0.324 0.000
Dy1 Dy 0.000 0.500 0.500
Pb1 Pb 0.000 0.149 0.500
```

Calculated values
For the total moment, the calculation gives 0.00 μB per cell. As for the density of states at the Fermi level: 1.131 states/eV/atom. The calculation puts the energy above the most stable polymorph in this dataset at 42 meV/atom. The crystal system is orthorhombic. The energy of formation from the pure elements is -9.147 kcal/mol of atoms. Its electronic total energy is -4.78 eV per atom.

Material: NdDy2Pb3
Method: DFT, GGA-PBE
State: relaxed

```
data_NdDy2Pb3
_symmetry_space_group_name_H-M 'C 1 2/c 1'
_symmetry_Int_Tables_number 15
_cell_length_a 17.101
_cell_length_b 6.477
_cell_length_c 6.446
_cell_angle_alpha 90.00
_cell_angle_beta 100.73
_cell_angle_gamma 90.00
loop_
_symmetry_equiv_pos_as_xyz
'x,y,z'
'-x,-y,-z'
'-x,y,-z+1/2'
'x,-y,z+1/2'
'x+1/2,y+1/2,z'
'-x+1/2,-y+1/2,-z'
'-x+1/2,y+1/2,-z+1/2'
'x+1/2,-y+1/2,z+1/2'
loop_
_atom_site_label
_atom_site_type_symbol
_atom_site_fract_x
_atom_site_fract_y
_atom_site_fract_z
Nd1 Nd 0.000 0.125 0.250
Dy1 Dy 0.166 0.376 0.079
Pb1 Pb 0.000 0.377 0.750
Pb2 Pb 0.170 0.125 0.586
```

Calculated values
For the total moment, the calculation gives 0.00 μB per cell. As for the density of states at the Fermi level: 0.539 states/eV/atom. The crystal system is monoclinic. The energy of formation from the pure elements is -11.625 kcal/mol of atoms. Its electronic total energy is -4.69 eV per atom.

Material: NdDyPb2
Method: DFT, GGA-PBE
State: relaxed

```
data_NdDyPb2
_symmetry_space_group_name_H-M 'P 4/m m m'
_symmetry_Int_Tables_number 123
_symmetry_space_group_name_Hall '-P 4 2'
_cell_length_a 3.583
_cell_length_b 3.583
_cell_length_c 9.086
_cell_angle_alpha 90.00
_cell_angle_beta 90.00
_cell_angle_gamma 90.00
loop_
_atom_site_label
_atom_site_type_symbol
_atom_site_fract_x
_atom_site_fract_y
_atom_site_fract_z
Nd1 Nd 0.000 0.000 0.000
Dy1 Dy 0.000 0.000 0.500
Pb1 Pb 0.500 0.500 0.258
```

Calculated values
For the total moment, the calculation gives 0.00 μB per cell. As for the density of states at the Fermi level: 0.930 states/eV/atom. The crystal system is tetragonal. The energy of formation from the pure elements is -10.918 kcal/mol of atoms. Its electronic total energy is -4.67 eV per atom.

Question: What is the formula in the fourth record?
Answer: Nd4DyPb2